1.
Material: MgRe2As
Method: DFT, GGA-PBEsol
State: optimized geometry

Summary:
* density of states at the Fermi level: 3.02 states/eV per cell
* ΔE_f: 0.3274 eV/atom

a = 2.9606 Å, b = 4.4952 Å, c = 5.3935 Å
α = 114.63°, β = 105.93°, γ = 90.00°
With the nearest neighbours (Å) after each atom.
Atoms (fractional coordinates):
Re 0.2863 0.2863 0.5725  2 As 2.49, 4 Re 2.78
Re 0.7137 0.7137 0.4275  2 As 2.49, 4 Re 2.78
As 0.0000 0.5000 0.0000  4 Re 2.49, 4 Mg 2.69
Mg 0.5000 0.0000 0.0000  4 As 2.69, 2 Mg 2.96, 4 Re 3.01

---

2.
Material: MgReAs2
Method: DFT, GGA-PBEsol
State: optimized geometry

Summary:
* density of states at the Fermi level: 2.22 states/eV per cell
* ΔE_f: 0.3662 eV/atom

a = 3.3843 Å, b = 3.9559 Å, c = 4.8397 Å
α = 90.00°, β = 90.00°, γ = 90.00°
With the nearest neighbours (Å) after each atom.
Atoms (fractional coordinates):
Mg 0.5000 0.5000 0.0000  4 As 2.60
As 0.0000 0.0000 0.0000  4 Mg 2.60
As 0.5000 0.0000 0.5000  4 Re 2.60
Re 0.0000 0.5000 0.5000  4 As 2.60

---

3.
Material: MgScRe2As
Method: DFT, GGA-PBEsol
State: optimized geometry

Summary:
* density of states at the Fermi level: 6.91 states/eV per cell
* ΔE_f: 1.9322 eV/atom

a = 4.5304 Å, b = 4.5304 Å, c = 4.7280 Å
α = 90.00°, β = 90.00°, γ = 90.00°
With the nearest neighbours (Å) after each atom.
Atoms (fractional coordinates):
Mg 0.0000 0.0000 0.0000  4 Re 2.27, 2 Sc 2.36
Re 0.5000 0.0000 0.0000  2 Mg 2.27
Sc 0.0000 0.0000 0.5000  2 Mg 2.36
As 0.5000 0.5000 0.5000  4 Sc 3.20, 8 Re 3.27
Re 0.0000 0.5000 0.0000  2 Mg 2.27

---

4.
Material: MgAsRh2
Method: DFT, GGA-PBEsol
State: optimized geometry

Summary:
* density of states at the Fermi level: 1.36 states/eV per cell
* ΔE_f: -0.4703 eV/atom

a = 3.3479 Å, b = 4.1058 Å, c = 4.1058 Å
α = 90.00°, β = 90.00°, γ = 90.00°
With the nearest neighbours (Å) after each atom.
Atoms (fractional coordinates):
As 0.5000 0.5000 0.5000  8 Rh 2.65, 4 Mg 2.90
Rh 0.0000 0.0000 0.5000  4 As 2.65, 4 Mg 2.65, 4 Rh 2.90
Mg 0.5000 0.0000 0.0000  8 Rh 2.65, 4 As 2.90
Rh 0.0000 0.5000 0.0000  4 As 2.65, 4 Mg 2.65, 4 Rh 2.90

---

Looking at total magnetization for the records above, in order, we have 0.000, 0.000, 0.000, 0.000 μB per atom.